Material: HoZr3Pa2N6
Method: DFT, PBE
State: relaxed

## Properties
- Total moment: 0.00 μB per formula unit
- ΔE_f (raw): -1.69 eV/atom
- Theoretical density: 10.05 g/cm3
- Crystal system: monoclinic
- Density of states at the Fermi level: 5.053 states/eV/f.u.
- Final energy: -238.94 eV per cell

Cell: 14.700 3.364 6.765 Å, 90.00 103.37 90.00°
Space group C2/m (No. 12)
One atom of each set of equivalent atoms:
Ho 0.000 0.000 0.000 x2
Zr 0.000 0.000 0.500 x2
Zr 0.164 0.500 0.830 x4
Pa 0.167 0.500 0.333 x4
N 0.001 0.500 0.258 x4
N 0.162 0.000 0.594 x4
N 0.169 0.000 0.079 x4